First-principles (PBE) data for SrGe2Rh2 after structural relaxation, as listed in Alexandria via LeMat-Bulk.

## Properties
For the total DFT energy (no corrections), the calculation gives -5.915 eV/atom. Its formation energy from the elements is -76.35 kJ/mol of atoms. The calculation puts the density of states at the Fermi level at 0.333 states/eV per atom.

a b c (Å): 4.2352 4.2352 6.1870
angles (deg): 110.01 110.01 89.99
Sites, in units of the cell vectors:
Sr 0.0000 0.0000 0.0000
Ge 0.6318 0.6318 0.2635
Ge 0.3682 0.3682 0.7365
Rh 0.2500 0.7500 0.5000
Rh 0.7500 0.2500 0.5000